# 1
A plane-wave DFT calculation with PBE was carried out for an optimized crystal structure of Rb2AgF7.

Cell and atoms, written as CIF:
```
data_Rb2AgF7
_cell_length_a 14.248
_cell_length_b 7.270
_cell_length_c 10.026
_cell_angle_alpha 90.00
_cell_angle_beta 133.88
_cell_angle_gamma 90.00
_symmetry_space_group_name_H-M 'C 1 2/c 1'
_symmetry_Int_Tables_number 15
_symmetry_space_group_name_Hall '-C 2yc'
loop_
_atom_site_label
_atom_site_type_symbol
_atom_site_fract_x
_atom_site_fract_y
_atom_site_fract_z
Rb1 Rb 0.174 0.089 0.086
Ag1 Ag 0.000 0.404 0.250
F1 F 0.000 0.115 0.250
F2 F 0.069 0.267 0.748
F3 F 0.092 0.388 0.170
F4 F 0.171 0.410 0.507
```

- formation energy without anion corrections (meV/atom) = -1554
- raw total energy (eV/atom) = -3.3426
- distance to the lowest polymorph of the same formula (meV per atom) = 49

=====

# 2
A plane-wave DFT calculation with PBE was carried out for an optimized crystal structure of Y2Ge4Ru3.

Cell and atoms, written as CIF:
```
data_Y2Ge4Ru3
_cell_length_a 5.567
_cell_length_b 9.658
_cell_length_c 12.416
_cell_angle_alpha 90.00
_cell_angle_beta 90.00
_cell_angle_gamma 90.00
_symmetry_space_group_name_H-M 'F m m m'
_symmetry_Int_Tables_number 69
_symmetry_space_group_name_Hall '-F 2 2'
loop_
_atom_site_label
_atom_site_type_symbol
_atom_site_fract_x
_atom_site_fract_y
_atom_site_fract_z
Y1 Y 0.000 0.000 0.132
Ge1 Ge 0.000 0.170 0.344
Ru1 Ru 0.000 0.000 0.500
Ru2 Ru 0.250 0.250 0.000
```

- energy relative to the elements (eV/f.u.) = -4.38
- raw total energy (eV/atom) = -7.0676